VASP calculation (GGA-PBE) on Li3Zn2In3 after structural relaxation.

Unit cell a=4.8844 b=12.0628 c=5.1319 alpha=90.00 beta=90.21 gamma=90.00
Last column: nearest neighbours and their distance in Å.
Fractional coordinates of all 16 atoms:
Li1 0.2428 0.2500 0.3191  4 Zn 2.80-3.01, 4 In 2.89-2.92, 4 Li 3.00-3.02
Li2 0.2556 0.6241 0.8548  3 Zn 2.88-3.15, 6 In 2.88-3.19, 3 Li 3.00-3.04
Li3 0.2556 0.8759 0.8548  3 Zn 2.88-3.15, 6 In 2.88-3.19, 3 Li 3.00-3.04
Li4 0.7444 0.1241 0.1452  3 Zn 2.88-3.15, 6 In 2.88-3.19, 3 Li 3.00-3.04
Li5 0.7444 0.3759 0.1452  3 Zn 2.88-3.15, 6 In 2.88-3.19, 3 Li 3.00-3.04
Li6 0.7572 0.7500 0.6809  4 Zn 2.80-3.01, 4 In 2.89-2.92, 4 Li 3.00-3.02
Zn1 0.2469 0.1370 0.8427  1 Zn 2.73, 4 Li 2.80-3.01, 3 In 2.89-3.01
Zn2 0.2469 0.3630 0.8427  1 Zn 2.73, 4 Li 2.80-3.01, 3 In 2.89-3.01
Zn3 0.7531 0.6370 0.1573  1 Zn 2.73, 4 Li 2.80-3.01, 3 In 2.89-3.01
Zn4 0.7531 0.8630 0.1573  1 Zn 2.73, 4 Li 2.80-3.01, 3 In 2.89-3.01
In1 0.2480 0.0100 0.3201  5 Li 2.88-3.19, 4 Zn 2.89-3.15, 3 In 3.06-3.15
In2 0.2480 0.4900 0.3201  5 Li 2.88-3.19, 4 Zn 2.89-3.15, 3 In 3.06-3.15
In3 0.2549 0.7500 0.3693  6 Li 2.92-3.05, 4 Zn 3.00-3.01, 2 In 3.15
In4 0.7451 0.2500 0.6307  6 Li 2.92-3.05, 4 Zn 3.00-3.01, 2 In 3.15
In5 0.7520 0.5100 0.6799  5 Li 2.88-3.19, 4 Zn 2.89-3.15, 3 In 3.06-3.15
In6 0.7520 0.9900 0.6799  5 Li 2.88-3.19, 4 Zn 2.89-3.15, 3 In 3.06-3.15

Summary:
Spin magnetization, μB per formula unit: 0.000
Uncorrected energy, eV per cell: -35.554
Formation energy, eV/atom: -0.159
Space-group type: No. 11
Density of states at the Fermi level, states/eV per cell: 5.07